A plane-wave DFT calculation with PBE with a Hubbard U was carried out for crystalline MoPF3 at its relaxed geometry.

**Final energy**: -4.26 eV/atom
**Crystal system**: cubic

Unit cell a=4.2945 b=4.2945 c=4.2945 alpha=90.00 beta=90.00 gamma=90.00
Closest atoms and distances in Å follow each position.
Atoms (fractional coordinates):
Mo  0.0000  0.0000  0.0000  12 F 3.04
P  0.5000  0.5000  0.5000  6 F 2.15
F  0.0000  0.5000  0.5000  2 P 2.15
F  0.5000  0.0000  0.5000  2 P 2.15
F  0.5000  0.5000  0.0000  2 P 2.15